Below is an optimized crystal structure of ZrVAgO2, with properties calculated at the PBE with a Hubbard U level.

## Properties
The value obtained for the final energy is -6.22 eV per atom. For the density of states at the Fermi level, the calculation gives 3.87 states/eV/f.u. The value obtained for the spin magnetization is 0.00 μB/atom.

a b c (Å): 3.830 3.830 5.197
angles (deg): 90.00 90.00 90.00
Element x y z (fractional)
Zr (0.000, 0.000, 0.000)
V (0.500, 0.500, 0.500)
Ag (0.500, 0.500, 0.000)
O (0.000, 0.500, 0.500)
O (0.500, 0.000, 0.500)

***

Below is an optimized crystal structure of ZrV2AgO8, with properties calculated at the PBE with a Hubbard U level.

## Properties
The value obtained for the final energy is -7.34 eV per atom. For the density of states at the Fermi level, the calculation gives 2.94 states/eV/f.u. The value obtained for the spin magnetization is 0.07 μB/atom.

a b c (Å): 5.862 5.862 5.862
angles (deg): 107.18 107.18 114.16
Element x y z (fractional)
Zr (0.000, 0.000, 0.000)
V (0.250, 0.750, 0.500)
V (0.500, 0.500, 0.000)
Ag (0.750, 0.250, 0.500)
O (0.095, 0.389, 0.294)
O (0.095, 0.800, 0.706)
O (0.128, 0.312, 0.816)
O (0.200, 0.905, 0.294)
O (0.497, 0.312, 0.184)
O (0.611, 0.905, 0.706)
O (0.688, 0.503, 0.816)
O (0.688, 0.872, 0.184)

***

Below is an optimized crystal structure of Ag2WO, with properties calculated at the PBE with a Hubbard U level.

## Properties
The value obtained for the final energy is -4.24 eV per atom. For the density of states at the Fermi level, the calculation gives 1.69 states/eV/f.u. The value obtained for the spin magnetization is 0.73 μB/atom.

a b c (Å): 6.721 6.721 6.721
angles (deg): 94.86 94.86 146.14
Element x y z (fractional)
Ag (0.022, 0.125, 0.397)
Ag (0.375, 0.978, 0.103)
Ag (0.728, 0.625, 0.603)
Ag (0.875, 0.272, 0.897)
W (0.250, 0.750, 0.500)
W (0.500, 0.500, 0.000)
O (0.000, 0.000, 0.000)
O (0.750, 0.250, 0.500)

***

Below is an optimized crystal structure of AgWO2, with properties calculated at the PBE with a Hubbard U level.

## Properties
The calculation puts the energy above the most stable polymorph in this dataset at 0.7062 eV per atom. For the density of states at the Fermi level, the calculation gives 0.99 states/eV/f.u. The value obtained for the spin magnetization is 0.73 μB/atom.

a b c (Å): 4.103 4.103 4.103
angles (deg): 60.00 60.00 60.00
Element x y z (fractional)
Ag (0.000, 0.000, 0.000)
W (0.500, 0.500, 0.500)
O (0.250, 0.250, 0.250)
O (0.750, 0.750, 0.750)

***

Below is an optimized crystal structure of AgWO3, with properties calculated at the PBE with a Hubbard U level.

## Properties
The value obtained for the final energy is -6.34 eV per atom. The value obtained for the spin magnetization is 0.20 μB/atom.

a b c (Å): 5.595 5.595 6.702
angles (deg): 99.52 99.52 42.11
Element x y z (fractional)
Ag (0.121, 0.121, 0.424)
Ag (0.879, 0.879, 0.576)
W (0.368, 0.368, 0.091)
W (0.632, 0.632, 0.909)
O (0.171, 0.171, 0.947)
O (0.345, 0.345, 0.358)
O (0.432, 0.432, 0.823)
O (0.568, 0.568, 0.177)
O (0.655, 0.655, 0.642)
O (0.829, 0.829, 0.053)

***

Below is an optimized crystal structure of AgWO3, with properties calculated at the PBE with a Hubbard U level.

## Properties
The value obtained for the final energy is -6.30 eV per atom. For the density of states at the Fermi level, the calculation gives 0.00 states/eV/f.u. The value obtained for the spin magnetization is 0.00 μB/atom.

a b c (Å): 7.281 5.095 7.669
angles (deg): 90.00 95.23 90.00
Element x y z (fractional)
Ag (0.081, 0.211, 0.111)
Ag (0.081, 0.289, 0.611)
Ag (0.919, 0.711, 0.389)
Ag (0.919, 0.789, 0.889)
W (0.429, 0.721, 0.924)
W (0.429, 0.779, 0.424)
W (0.571, 0.221, 0.576)
W (0.571, 0.279, 0.076)
O (0.188, 0.623, 0.866)
O (0.188, 0.877, 0.366)
O (0.340, 0.080, 0.015)
O (0.340, 0.420, 0.515)
O (0.440, 0.592, 0.179)
O (0.440, 0.908, 0.679)
O (0.560, 0.092, 0.321)
O (0.560, 0.408, 0.821)
O (0.660, 0.580, 0.485)
O (0.660, 0.920, 0.985)
O (0.812, 0.123, 0.634)
O (0.812, 0.377, 0.134)

***

What did the second record say?
Below is an optimized crystal structure of ZrV2AgO8, with properties calculated at the PBE with a Hubbard U level.

## Properties
The value obtained for the final energy is -7.34 eV per atom. For the density of states at the Fermi level, the calculation gives 2.94 states/eV/f.u. The value obtained for the spin magnetization is 0.07 μB/atom.

a b c (Å): 5.862 5.862 5.862
angles (deg): 107.18 107.18 114.16
Element x y z (fractional)
Zr (0.000, 0.000, 0.000)
V (0.250, 0.750, 0.500)
V (0.500, 0.500, 0.000)
Ag (0.750, 0.250, 0.500)
O (0.095, 0.389, 0.294)
O (0.095, 0.800, 0.706)
O (0.128, 0.312, 0.816)
O (0.200, 0.905, 0.294)
O (0.497, 0.312, 0.184)
O (0.611, 0.905, 0.706)
O (0.688, 0.503, 0.816)
O (0.688, 0.872, 0.184)

***

Look up the spin magnetization of the first one. 0.00 μB/atom